First-principles (GGA+U) data for crystalline Li3FeNi3O8 at its relaxed geometry, as listed in Alexandria via LeMat-Bulk.

## Properties
The relative energy among the computed polymorphs is 44 meV per atom. For the density of states at the Fermi level, the calculation gives 8.96 states/eV per cell. Its space-group type is Cmc2_1. Its total energy is -153.3 eV for the cell shown. The calculation puts the size of the total moment at 14.0 μB per cell.

Structure (CIF):
```
data_Li3FeNi3O8
_space_group_name_H-M_alt 'P 1'
_space_group_IT_number 1
_cell_length_a 5.8012
_cell_length_b 5.7800
_cell_length_c 9.4051
_cell_angle_alpha 89.98
_cell_angle_beta 89.99
_cell_angle_gamma 59.88
loop_
_space_group_symop_operation_xyz
'x,y,z'
loop_
_atom_site_label
_atom_site_type_symbol
_atom_site_fract_x
_atom_site_fract_y
_atom_site_fract_z
_atom_site_occupancy
O1 O 0.6748 0.1554 0.0920 1
O2 O 0.4880 0.0243 0.8535 1
O3 O 0.8292 0.3416 0.5836 1
O4 O 0.1707 0.6585 0.0836 1
O5 O 0.9615 0.5307 0.3494 1
O6 O 0.8303 0.8446 0.5919 1
O7 O 0.5121 0.9758 0.3535 1
O8 O 0.1697 0.1553 0.0920 1
O9 O 0.4924 0.4694 0.8495 1
O10 O 0.3375 0.3252 0.6064 1
O11 O 0.0044 0.9909 0.3136 1
O12 O 0.3251 0.8448 0.5920 1
O13 O 0.6625 0.6750 0.1064 1
O14 O 0.5075 0.5309 0.3495 1
O15 O 0.9955 0.0090 0.8136 1
O16 O 0.0385 0.4692 0.8495 1
Li1 Li 0.1624 0.6750 0.4488 1
Li2 Li 0.3448 0.8206 0.9473 1
Li3 Li 0.1653 0.1794 0.4472 1
Li4 Li 0.8376 0.3247 0.9488 1
Li5 Li 0.6551 0.1795 0.4473 1
Li6 Li 0.8346 0.8203 0.9473 1
Ni1 Ni 0.8307 0.3383 0.2151 1
Ni2 Ni 0.1689 0.1685 0.7133 1
Ni3 Ni 0.6628 0.1685 0.7133 1
Ni4 Ni 0.3372 0.8316 0.2133 1
Ni5 Ni 0.8312 0.8315 0.2133 1
Ni6 Ni 0.1692 0.6617 0.7151 1
Fe1 Fe 0.3401 0.3199 0.9872 1
Fe2 Fe 0.6599 0.6802 0.4872 1
```